# 1
# Pd2RuRh2, optimized geometry, DFT GGA-PBE
data_Pd2RuRh2
_chemical_formula_sum 'Pd2 Ru1 Rh2'
_symmetry_space_group_name_H-M 'P -3 m 1'
_symmetry_Int_Tables_number 164
_symmetry_space_group_name_Hall '-P 3 2"'
_cell_length_a 2.7294
_cell_length_b 2.7294
_cell_length_c 11.2966
_cell_angle_alpha 90.00
_cell_angle_beta 90.00
_cell_angle_gamma 120.00
loop_
_atom_site_label
_atom_site_type_symbol
_atom_site_fract_x
_atom_site_fract_y
_atom_site_fract_z
Pd1 Pd 0.3333 0.6667 0.1050
Ru1 Ru 0.0000 0.0000 0.5000
Rh1 Rh 0.3333 0.6667 0.6904
# E_tot = -6.856 eV/atom

---

# 2
# Re2SiP, optimized geometry, DFT GGA-PBE
data_Re2SiP
_chemical_formula_sum 'Re4 Si2 P2'
_symmetry_space_group_name_H-M 'C 1 m 1'
_symmetry_Int_Tables_number 8
_cell_length_a 8.4814
_cell_length_b 3.0176
_cell_length_c 4.4474
_cell_angle_alpha 90.00
_cell_angle_beta 107.14
_cell_angle_gamma 90.00
loop_
_symmetry_equiv_pos_as_xyz
'x,y,z'
'x,-y,z'
'x+1/2,y+1/2,z'
'x+1/2,-y+1/2,z'
loop_
_atom_site_label
_atom_site_type_symbol
_atom_site_fract_x
_atom_site_fract_y
_atom_site_fract_z
Re1 Re 0.0000 0.0000 0.0000
Re2 Re 0.2402 0.0000 0.6109
Si1 Si 0.2442 0.5000 0.1386
P1 P 0.4959 0.0000 0.4484
# E_form (uncorrected) = -0.21 eV/atom
# relative energy among the computed polymorphs = 0.000 eV per atom
# E_tot = -9.145 eV/atom